(1)
{"formula": "Tb6PmY2Ho3", "functional": "PBE", "state": "relaxed", "lattice": [[6.1645, 0.0017, 0.0125], [-3.0793, 5.3404, 0.0125], [-1.0451, -1.8096, 11.6175]], "species": ["Ho", "Pm", "Tb", "Y", "Tb", "Tb", "Tb", "Tb", "Tb", "Ho", "Ho", "Y"], "fractional_positions": [[0.8331, 0.1669, 0.5000], [0.0000, 0.0000, 0.0000], [0.0845, 0.4177, 0.2523], [0.3333, 0.6667, 0.0000], [0.5823, 0.9155, 0.7477], [0.4177, 0.0845, 0.2523], [0.7513, 0.7513, 0.2522], [0.2487, 0.2487, 0.7478], [0.9155, 0.5823, 0.7477], [0.1669, 0.8331, 0.5000], [0.5000, 0.5000, 0.5000], [0.6667, 0.3333, 0.0000]], "delta_e_f_ev_per_atom": 0.02, "rho_g_cm3": 7.68, "spacegroup": "C2/m, No. 12", "m_tot_mub_per_fu": 0.00, "dos_ef_per_ev_cell": 15.7}


(2)
{"formula": "Tb2PmYHo6", "functional": "PBE", "state": "relaxed", "lattice": [[-4.2215, -8.4380, -1.7532], [3.6896, 0.5312, -7.9337], [4.8563, -3.0759, 6.6177]], "species": ["Y", "Tb", "Ho", "Ho", "Ho", "Ho", "Ho", "Ho", "Ho", "Pm", "Tb", "Pm", "Ho", "Ho", "Tb", "Tb", "Ho", "Ho", "Y", "Ho"], "fractional_positions": [[0.2500, 0.9779, 0.0221], [0.4570, 0.8075, 0.7008], [0.8163, 0.4260, 0.9745], [0.4438, 0.2512, 0.8760], [0.0562, 0.1240, 0.7488], [0.9438, 0.8760, 0.2512], [0.1206, 0.7096, 0.4983], [0.6837, 0.0255, 0.5740], [0.1837, 0.5740, 0.0255], [0.7500, 0.5928, 0.4072], [0.5430, 0.1925, 0.2992], [0.2500, 0.4072, 0.5928], [0.6206, 0.4983, 0.7096], [0.3163, 0.9745, 0.4260], [0.9570, 0.7008, 0.8075], [0.0430, 0.2992, 0.1925], [0.5562, 0.7488, 0.1240], [0.3794, 0.5017, 0.2904], [0.7500, 0.0221, 0.9779], [0.8794, 0.2904, 0.5017]], "delta_e_f_ev_per_atom": 0.12, "rho_g_cm3": 7.95, "spacegroup": "C2/c, No. 15", "m_tot_mub_per_fu": 0.00, "dos_ef_per_ev_cell": 29.2}


(3)
{"formula": "TbPm2YHo2", "functional": "PBE", "state": "relaxed", "lattice": [[5.6525, 0.0000, 0.0000], [0.0000, 7.0248, 0.0000], [0.0000, 0.0000, 9.7850]], "species": ["Ho", "Pm", "Ho", "Tb", "Y", "Tb", "Pm", "Y", "Pm", "Ho", "Ho", "Pm"], "fractional_positions": [[0.5000, 0.2576, 0.3308], [0.0000, 0.7577, 0.8257], [0.5000, 0.7576, 0.6692], [0.5000, 0.7575, 0.3397], [0.0000, 0.0075, 0.4999], [0.5000, 0.2575, 0.6603], [0.5000, 0.5077, 0.9999], [0.0000, 0.5075, 0.5001], [0.0000, 0.2577, 0.1743], [0.0000, 0.7577, 0.1635], [0.0000, 0.2577, 0.8365], [0.5000, 0.0077, 0.0001]], "delta_e_f_ev_per_atom": 0.06, "rho_g_cm3": 7.42, "spacegroup": "Pmma, No. 51", "m_tot_mub_per_fu": 0.00, "dos_ef_per_ev_cell": 19.6}


(4)
{"formula": "Tb2Pm4YHo2", "functional": "PBE", "state": "relaxed", "lattice": [[5.0814, 0.0000, 0.0000], [-2.5407, 7.6320, 0.0080], [0.0000, -2.5513, 7.6183]], "species": ["Tb", "Ho", "Tb", "Pm", "Pm", "Pm", "Y", "Ho", "Pm"], "fractional_positions": [[0.1115, 0.2230, 0.6683], [0.6674, 0.3349, 0.9996], [0.8885, 0.7770, 0.3317], [0.2228, 0.4456, 0.3322], [0.4453, 0.8906, 0.6677], [0.5547, 0.1094, 0.3323], [0.0000, 0.0000, 0.0000], [0.3326, 0.6651, 0.0004], [0.7772, 0.5544, 0.6678]], "delta_e_f_ev_per_atom": 0.02, "rho_g_cm3": 7.40, "spacegroup": "C2/m, No. 12", "m_tot_mub_per_fu": 0.00, "dos_ef_per_ev_cell": 13.3}


(5)
{"formula": "TbPmY5Ho2", "functional": "PBE", "state": "relaxed", "lattice": [[5.6317, 0.0000, 0.0000], [-2.8158, 10.0525, 0.0000], [0.0000, 0.0000, 10.5269]], "species": ["Y", "Pm", "Y", "Ho", "Y", "Y", "Y", "Ho", "Y", "Y", "Ho", "Tb", "Y", "Ho", "Y", "Pm", "Y", "Tb"], "fractional_positions": [[0.6113, 0.2225, 0.5246], [0.8027, 0.6054, 0.5138], [0.3005, 0.6009, 0.7055], [0.1127, 0.2254, 0.3193], [0.7213, 0.4426, 0.8148], [0.0166, 0.0331, 0.0232], [0.2787, 0.5574, 0.3148], [0.8894, 0.7787, 0.2358], [0.4783, 0.9567, 0.7370], [0.6995, 0.3991, 0.2055], [0.1106, 0.2213, 0.7358], [0.5864, 0.1728, 0.9501], [0.5217, 0.0433, 0.2370], [0.8873, 0.7746, 0.8193], [0.9834, 0.9669, 0.5232], [0.1973, 0.3946, 0.0138], [0.3887, 0.7775, 0.0246], [0.4136, 0.8272, 0.4501]], "delta_e_f_ev_per_atom": 0.16, "rho_g_cm3": 6.01, "spacegroup": "Cmc2_1, No. 36", "m_tot_mub_per_fu": 0.00, "dos_ef_per_ev_cell": 30.7}


(6)
{"formula": "Tb2Pm2Y6Ho", "functional": "PBE", "state": "relaxed", "lattice": [[6.6247, -0.6134, -0.4874], [-3.8076, 5.4558, -0.4874], [-1.8999, -3.2658, 11.4156]], "species": ["Y", "Y", "Pm", "Ho", "Y", "Pm", "Tb", "Y", "Y", "Y", "Tb"], "fractional_positions": [[0.2961, 0.2961, 0.2967], [0.7039, 0.7039, 0.7033], [0.1331, 0.8669, 0.0000], [0.0000, 0.0000, 0.5000], [0.8593, 0.5544, 0.2074], [0.8669, 0.1331, 0.0000], [0.7071, 0.2929, 0.5000], [0.4456, 0.1407, 0.7926], [0.5544, 0.8593, 0.2074], [0.1407, 0.4456, 0.7926], [0.2929, 0.7071, 0.5000]], "delta_e_f_ev_per_atom": 0.14, "rho_g_cm3": 5.96, "spacegroup": "C2/m, No. 12", "m_tot_mub_per_fu": 0.00, "dos_ef_per_ev_cell": 18.4}


(7)
{"formula": "Tb5PmYHo2", "functional": "PBE", "state": "relaxed", "lattice": [[-1.0263, 1.6639, 5.2627], [4.0576, -9.5430, 0.8139], [9.7041, 4.1749, 0.5724]], "species": ["Pm", "Ho", "Tb", "Tb", "Ho", "Tb", "Ho", "Tb", "Y", "Y", "Ho", "Tb", "Tb", "Tb", "Tb", "Tb", "Tb", "Pm"], "fractional_positions": [[0.2006, 0.4012, 0.0116], [0.1101, 0.2202, 0.7364], [0.3001, 0.6002, 0.7075], [0.6999, 0.3998, 0.2075], [0.1138, 0.2277, 0.3186], [0.3924, 0.7848, 0.0246], [0.8899, 0.7798, 0.2364], [0.2803, 0.5607, 0.3080], [0.5873, 0.1745, 0.9540], [0.4127, 0.8255, 0.4540], [0.8862, 0.7723, 0.8186], [0.5217, 0.0433, 0.2387], [0.9832, 0.9664, 0.5246], [0.7197, 0.4393, 0.8080], [0.0168, 0.0336, 0.0246], [0.6076, 0.2152, 0.5246], [0.4783, 0.9567, 0.7387], [0.7994, 0.5988, 0.5116]], "delta_e_f_ev_per_atom": 0.16, "rho_g_cm3": 7.58, "spacegroup": "Cmc2_1, No. 36", "m_tot_mub_per_fu": 0.00, "dos_ef_per_ev_cell": 28.9}


(8)
{"formula": "TbPmY2Ho5", "functional": "PBE", "state": "relaxed", "lattice": [[5.6118, 0.0000, 0.0000], [-2.8059, 9.8699, 0.0000], [0.0000, 0.0000, 10.5823]], "species": ["Ho", "Ho", "Ho", "Ho", "Tb", "Ho", "Y", "Ho", "Ho", "Y", "Y", "Tb", "Pm", "Ho", "Ho", "Pm", "Y", "Ho"], "fractional_positions": [[0.9810, 0.9619, 0.5258], [0.6096, 0.2193, 0.5225], [0.2826, 0.5651, 0.3102], [0.2985, 0.5970, 0.7081], [0.7986, 0.5971, 0.5113], [0.7015, 0.4030, 0.2081], [0.8898, 0.7797, 0.2348], [0.4788, 0.9576, 0.7370], [0.0190, 0.0381, 0.0258], [0.1136, 0.2271, 0.3202], [0.8864, 0.7729, 0.8202], [0.2014, 0.4029, 0.0113], [0.5836, 0.1673, 0.9541], [0.3904, 0.7807, 0.0225], [0.7174, 0.4349, 0.8102], [0.4164, 0.8327, 0.4541], [0.1102, 0.2203, 0.7348], [0.5212, 0.0424, 0.2370]], "delta_e_f_ev_per_atom": 0.16, "rho_g_cm3": 7.40, "spacegroup": "Cmc2_1, No. 36", "m_tot_mub_per_fu": 0.00, "dos_ef_per_ev_cell": 29.1}


(9)
{"formula": "TbPm2Y6Ho2", "functional": "PBE", "state": "relaxed", "lattice": [[-3.5712, -3.4950, 4.4053], [2.4446, -1.8648, -5.9095], [10.0900, 2.1483, 6.2241]], "species": ["Pm", "Y", "Y", "Ho", "Y", "Ho", "Tb", "Pm", "Y", "Y", "Y"], "fractional_positions": [[0.1344, 0.8656, 0.0000], [0.8628, 0.5564, 0.2100], [0.1372, 0.4436, 0.7900], [0.2951, 0.7049, 0.5000], [0.4436, 0.1372, 0.7900], [0.7049, 0.2951, 0.5000], [0.0000, 0.0000, 0.5000], [0.8656, 0.1344, 0.0000], [0.2941, 0.2941, 0.2945], [0.7059, 0.7059, 0.7055], [0.5564, 0.8628, 0.2100]], "delta_e_f_ev_per_atom": 0.15, "rho_g_cm3": 5.99, "spacegroup": "Cmmm, No. 65", "m_tot_mub_per_fu": 0.00, "dos_ef_per_ev_cell": 18.3}


(10)
{"formula": "TbPm2Y6Ho3", "functional": "PBE", "state": "relaxed", "lattice": [[-4.0473, 2.1279, 4.1671], [5.1989, -2.7762, 1.8809], [5.0864, 10.4969, -1.9457]], "species": ["Ho", "Y", "Y", "Pm", "Ho", "Pm", "Y", "Y", "Y", "Ho", "Y", "Tb"], "fractional_positions": [[0.8334, 0.1666, 0.5000], [0.5827, 0.9157, 0.7477], [0.7515, 0.7515, 0.2526], [0.6666, 0.3334, 0.0000], [0.5000, 0.5000, 0.5000], [0.3334, 0.6666, 0.0000], [0.0843, 0.4173, 0.2523], [0.9157, 0.5827, 0.7477], [0.4173, 0.0843, 0.2523], [0.1666, 0.8334, 0.5000], [0.2485, 0.2485, 0.7474], [0.0000, 0.0000, 0.0000]], "delta_e_f_ev_per_atom": 0.02, "rho_g_cm3": 6.35, "spacegroup": "C2/m, No. 12", "m_tot_mub_per_fu": 0.00, "dos_ef_per_ev_cell": 16.9}


(11)
{"formula": "TbPmY2Ho2", "functional": "PBE", "state": "relaxed", "lattice": [[3.4023, 0.0000, 0.0000], [0.0000, 6.5455, 0.0000], [0.0000, 0.0000, 17.8098]], "species": ["Tb", "Tb", "Pm", "Ho", "Y", "Y", "Y", "Pm", "Ho", "Ho", "Ho", "Y"], "fractional_positions": [[0.5000, 0.5000, 0.0000], [0.0000, 0.0000, 0.5000], [0.0000, 0.0000, 0.0000], [0.5000, 0.2229, 0.6473], [0.0000, 0.7753, 0.1859], [0.5000, 0.2753, 0.3141], [0.0000, 0.2247, 0.8141], [0.5000, 0.5000, 0.5000], [0.5000, 0.7771, 0.3527], [0.0000, 0.2771, 0.1473], [0.0000, 0.7229, 0.8527], [0.5000, 0.7247, 0.6859]], "delta_e_f_ev_per_atom": 0.27, "rho_g_cm3": 6.80, "spacegroup": "Pnnm, No. 58", "m_tot_mub_per_fu": 0.00, "dos_ef_per_ev_cell": 19.4}


(12)
{"formula": "TbPm2Y4Ho2", "functional": "PBE", "state": "relaxed", "lattice": [[-3.4816, 0.4379, 0.8461], [3.4354, -3.4318, 8.2130], [0.9072, 9.4841, -1.1752]], "species": ["Pm", "Y", "Ho", "Pm", "Y", "Y", "Tb", "Ho", "Y"], "fractional_positions": [[0.1485, 0.2970, 0.6669], [0.4814, 0.9628, 0.6684], [0.6666, 0.3333, 0.0005], [0.8515, 0.7030, 0.3331], [0.5186, 0.0372, 0.3316], [0.1848, 0.3696, 0.3321], [0.0000, 0.0000, 0.0000], [0.3334, 0.6667, 0.9995], [0.8152, 0.6304, 0.6679]], "delta_e_f_ev_per_atom": 0.01, "rho_g_cm3": 6.44, "spacegroup": "C2/m, No. 12", "m_tot_mub_per_fu": 0.00, "dos_ef_per_ev_cell": 12.3}


(13)
{"formula": "TbPm2Y3Ho6", "functional": "PBE", "state": "relaxed", "lattice": [[6.1667, 0.0017, 0.0101], [-3.0803, 5.3422, 0.0101], [-1.0430, -1.8059, 11.6048]], "species": ["Y", "Ho", "Ho", "Ho", "Y", "Tb", "Pm", "Ho", "Ho", "Ho", "Y", "Pm"], "fractional_positions": [[0.1665, 0.8335, 0.5000], [0.0844, 0.4174, 0.2510], [0.9156, 0.5826, 0.7490], [0.7516, 0.7516, 0.2511], [0.8335, 0.1665, 0.5000], [0.0000, 0.0000, 0.0000], [0.3333, 0.6667, 0.0000], [0.4174, 0.0844, 0.2510], [0.2484, 0.2484, 0.7489], [0.5826, 0.9156, 0.7490], [0.5000, 0.5000, 0.5000], [0.6667, 0.3333, 0.0000]], "delta_e_f_ev_per_atom": 0.02, "rho_g_cm3": 7.40, "spacegroup": "C2/m, No. 12", "m_tot_mub_per_fu": 0.00, "dos_ef_per_ev_cell": 16.5}


(14)
{"formula": "Tb3PmY6Ho2", "functional": "PBE", "state": "relaxed", "lattice": [[-5.2921, 3.0265, 0.9864], [1.3604, -5.0053, 3.3520], [6.6154, 7.3771, 6.4435]], "species": ["Tb", "Ho", "Tb", "Y", "Y", "Y", "Pm", "Tb", "Ho", "Y", "Y", "Y"], "fractional_positions": [[0.5000, 0.5000, 0.5000], [0.6667, 0.3333, 0.0000], [0.8330, 0.1670, 0.5000], [0.2501, 0.2501, 0.7499], [0.5823, 0.9161, 0.7497], [0.7499, 0.7499, 0.2501], [0.0000, 0.0000, 0.0000], [0.1670, 0.8330, 0.5000], [0.3333, 0.6667, 0.0000], [0.4177, 0.0839, 0.2503], [0.0839, 0.4177, 0.2503], [0.9161, 0.5823, 0.7497]], "delta_e_f_ev_per_atom": 0.02, "rho_g_cm3": 6.41, "spacegroup": "C2/m, No. 12", "m_tot_mub_per_fu": 0.00, "dos_ef_per_ev_cell": 16.7}


(15)
{"formula": "Tb6Pm2YHo", "functional": "PBE", "state": "relaxed", "lattice": [[-8.5731, -4.3330, -1.1526], [1.4810, 0.8437, -8.6636], [3.6307, -6.8419, 4.2390]], "species": ["Tb", "Tb", "Ho", "Pm", "Tb", "Pm", "Tb", "Tb", "Tb", "Tb", "Y", "Tb", "Tb", "Pm", "Tb", "Pm", "Ho", "Y", "Tb", "Tb"], "fractional_positions": [[0.0565, 0.1270, 0.7480], [0.3803, 0.5003, 0.2899], [0.2500, 0.4080, 0.5920], [0.0422, 0.3019, 0.1947], [0.9435, 0.8730, 0.2520], [0.9578, 0.6981, 0.8053], [0.3123, 0.9791, 0.4257], [0.1877, 0.5743, 0.0209], [0.8123, 0.4257, 0.9791], [0.8803, 0.2899, 0.5003], [0.7500, 0.0193, 0.9807], [0.6877, 0.0209, 0.5743], [0.6197, 0.4997, 0.7101], [0.5422, 0.1947, 0.3019], [0.1197, 0.7101, 0.4997], [0.4578, 0.8053, 0.6981], [0.7500, 0.5920, 0.4080], [0.2500, 0.9807, 0.0193], [0.4435, 0.2520, 0.8730], [0.5565, 0.7480, 0.1270]], "delta_e_f_ev_per_atom": 0.11, "rho_g_cm3": 7.58, "spacegroup": "C2/c, No. 15", "m_tot_mub_per_fu": 0.00, "dos_ef_per_ev_cell": 27.2}


(16)
{"formula": "TbPmYHo3", "functional": "PBE", "state": "relaxed", "lattice": [[5.7664, 0.0000, 0.0000], [-2.8832, 5.8194, 0.0000], [0.0000, 0.0000, 11.4871]], "species": ["Ho", "Pm", "Tb", "Y", "Tb", "Pm", "Y", "Ho", "Ho", "Ho", "Ho", "Ho"], "fractional_positions": [[0.1456, 0.2911, 0.7500], [0.5245, 0.0490, 0.7500], [0.0000, 0.0000, 0.5000], [0.1720, 0.3440, 0.2500], [0.0000, 0.0000, 0.0000], [0.4755, 0.9510, 0.2500], [0.8280, 0.6560, 0.7500], [0.8544, 0.7089, 0.2500], [0.6736, 0.3472, 0.4756], [0.6736, 0.3472, 0.0244], [0.3264, 0.6528, 0.5244], [0.3264, 0.6528, 0.9756]], "delta_e_f_ev_per_atom": 0.12, "rho_g_cm3": 7.65, "spacegroup": "Cmcm, No. 63", "m_tot_mub_per_fu": 0.00, "dos_ef_per_ev_cell": 23.5}


(17)
{"formula": "Tb2PmY6Ho2", "functional": "PBE", "state": "relaxed", "lattice": [[6.6061, -0.6028, -0.5180], [-3.7891, 5.4449, -0.5180], [-1.8534, -3.1858, 11.4167]], "species": ["Y", "Pm", "Ho", "Tb", "Ho", "Y", "Y", "Y", "Tb", "Y", "Y"], "fractional_positions": [[0.4466, 0.1403, 0.7941], [0.0000, 0.0000, 0.5000], [0.2954, 0.7046, 0.5000], [0.1348, 0.8652, 0.0000], [0.7046, 0.2954, 0.5000], [0.1403, 0.4466, 0.7941], [0.7093, 0.7093, 0.7099], [0.8597, 0.5534, 0.2059], [0.8652, 0.1348, 0.0000], [0.5534, 0.8597, 0.2059], [0.2907, 0.2907, 0.2901]], "delta_e_f_ev_per_atom": 0.15, "rho_g_cm3": 6.09, "spacegroup": "Cmmm, No. 65", "m_tot_mub_per_fu": 0.00, "dos_ef_per_ev_cell": 17.3}


(18)
{"formula": "Tb2Pm4Y2Ho", "functional": "PBE", "state": "relaxed", "lattice": [[5.0898, 0.0000, 0.0000], [-2.5449, 7.6478, 0.0165], [0.0000, -2.5666, 7.6223]], "species": ["Pm", "Pm", "Tb", "Tb", "Y", "Pm", "Ho", "Pm", "Y"], "fractional_positions": [[0.7775, 0.5550, 0.6663], [0.2225, 0.4450, 0.3337], [0.1109, 0.2217, 0.6678], [0.8891, 0.7783, 0.3322], [0.3336, 0.6673, 0.0001], [0.4453, 0.8905, 0.6675], [0.0000, 0.0000, 0.0000], [0.5547, 0.1095, 0.3325], [0.6664, 0.3327, 0.9999]], "delta_e_f_ev_per_atom": 0.02, "rho_g_cm3": 6.94, "spacegroup": "C2/m, No. 12", "m_tot_mub_per_fu": 0.00, "dos_ef_per_ev_cell": 13.4}


(19)
{"formula": "TbPm3Y6Ho2", "functional": "PBE", "state": "relaxed", "lattice": [[6.2079, 0.0010, 0.0057], [-3.1016, 5.3776, 0.0057], [-1.0414, -1.8032, 11.6601]], "species": ["Tb", "Y", "Pm", "Pm", "Y", "Y", "Y", "Ho", "Y", "Y", "Ho", "Pm"], "fractional_positions": [[0.0000, 0.0000, 0.0000], [0.0826, 0.4161, 0.2473], [0.8332, 0.1668, 0.5000], [0.1668, 0.8332, 0.5000], [0.2509, 0.2509, 0.7527], [0.5839, 0.9174, 0.7527], [0.7491, 0.7491, 0.2473], [0.6667, 0.3333, 0.0000], [0.4161, 0.0826, 0.2473], [0.9174, 0.5839, 0.7527], [0.3333, 0.6667, 0.0000], [0.5000, 0.5000, 0.5000]], "delta_e_f_ev_per_atom": 0.02, "rho_g_cm3": 6.21, "spacegroup": "C2/m, No. 12", "m_tot_mub_per_fu": 0.00, "dos_ef_per_ev_cell": 16.8}


(20)
{"formula": "TbPmY2Ho", "functional": "PBE", "state": "relaxed", "lattice": [[-1.3014, -7.0221, -1.0528], [8.1293, -1.7225, 1.4401], [-5.1883, 0.2314, 4.8698]], "species": ["Tb", "Tb", "Pm", "Y", "Pm", "Ho", "Y", "Ho", "Y", "Y"], "fractional_positions": [[0.7500, 0.0043, 0.0086], [0.2500, 0.9957, 0.9914], [0.7500, 0.2724, 0.5448], [0.5000, 0.6900, 0.0000], [0.2500, 0.7276, 0.4552], [0.7500, 0.7262, 0.4524], [0.0000, 0.3100, 0.0000], [0.2500, 0.2738, 0.5476], [0.0000, 0.6900, 0.0000], [0.5000, 0.3100, 0.0000]], "delta_e_f_ev_per_atom": 0.39, "rho_g_cm3": 6.15, "spacegroup": "Cmcm, No. 63", "m_tot_mub_per_fu": 0.00, "dos_ef_per_ev_cell": 14.9}